Entry 1:
Compound: CaMoPt2
Source: Alexandria via LeMat-Bulk
Functional: PBE-GGA
Structure: optimized geometry

a = 5.1556 Å, b = 5.1556 Å, c = 5.1556 Å
α = 133.92°, β = 133.92°, γ = 67.22°
Fractional positions:
Ca  0.0000  0.0000  0.0000
Mo  0.2500  0.7500  0.5000
Pt  0.5000  0.5000  0.0000
Pt  0.7500  0.2500  0.5000

Its size of the total moment is 0.00 μB/cell. Its energy of formation from the pure elements is -0.055 eV per atom. The space-group type is No. 119. For the raw total energy, the calculation gives -25.1 eV for the cell shown.

***

Entry 2:
Compound: CaMoPt2
Source: Alexandria via LeMat-Bulk
Functional: PBE-GGA
Structure: optimized geometry

a = 6.0336 Å, b = 6.0336 Å, c = 6.0336 Å
α = 152.62°, β = 133.47°, γ = 54.83°
Fractional positions:
Ca  0.0000  0.0000  0.0000
Mo  0.7083  0.2083  0.5000
Pt  0.2660  0.7660  0.5000
Pt  0.4964  0.4964  0.0000

Its size of the total moment is 0.00 μB/cell. Its energy of formation from the pure elements is -0.196 eV per atom. The space-group type is No. 44. For the raw total energy, the calculation gives -25.7 eV for the cell shown.

***

Entry 3:
Compound: CaMoPt
Source: Alexandria via LeMat-Bulk
Functional: PBE-GGA
Structure: optimized geometry

a = 2.8872 Å, b = 5.0978 Å, c = 8.2939 Å
α = 72.10°, β = 87.65°, γ = 82.30°
Fractional positions:
Ca  0.0034  0.1884  0.1235
Ca  0.9966  0.8116  0.8765
Mo  0.0945  0.2234  0.5000
Mo  0.9055  0.7766  0.5000
Pt  0.4999  0.3738  0.7529
Pt  0.5001  0.6262  0.2471

Its size of the total moment is 0.00 μB/cell. Its energy of formation from the pure elements is -0.181 eV per atom. The space-group type is No. 2. For the raw total energy, the calculation gives -38.8 eV for the cell shown.

***

Entry 4:
Compound: CaMoPt
Source: Alexandria via LeMat-Bulk
Functional: PBE-GGA
Structure: optimized geometry

a = 4.3992 Å, b = 3.3877 Å, c = 8.3358 Å
α = 90.00°, β = 93.72°, γ = 90.00°
Fractional positions:
Ca  0.2434  0.2500  0.3566
Ca  0.7566  0.7500  0.6434
Mo  0.2145  0.7500  0.9956
Mo  0.7855  0.2500  0.0044
Pt  0.2656  0.2500  0.7541
Pt  0.7344  0.7500  0.2459

Its size of the total moment is 0.00 μB/cell. Its energy of formation from the pure elements is -0.231 eV per atom. The space-group type is No. 11. For the raw total energy, the calculation gives -39.1 eV for the cell shown.